# Pm2Co2Cu

A relaxed structure of Pm2Co2Cu (PBE, Alexandria).

It has space group P4/mbm (No. 127), with a = 6.910 Å, b = 6.910 Å, c = 4.011 Å, α = 90.00°, β = 90.00° and γ = 90.00°. The inequivalent atoms are Pm at (0.183, 0.317, 0.000), Co at (0.117, 0.617, 0.500) and Cu at (0.000, 0.000, 0.500).

As for the formation energy from the elements: -0.025 eV per atom. The calculation puts the density of states at the Fermi level at 11.1 states/eV/cell. The distance to the lowest polymorph of the same formula comes out at 0.064 eV/atom. For the total magnetic moment, the calculation gives 0.11 μB per formula unit.

# Pm5Co2Cu

A relaxed structure of Pm5Co2Cu (PBE, Alexandria).

It has space group I4/mcm (No. 140), with a = 7.721 Å, b = 7.721 Å, c = 13.207 Å, α = 90.00°, β = 90.00° and γ = 90.00°. The inequivalent atoms are Pm at (0.000, 0.000, 0.000), Pm at (0.164, 0.336, 0.136), Co at (0.130, 0.370, 0.500) and Cu at (0.000, 0.000, 0.250).

As for the formation energy from the elements: -0.086 eV per atom. The calculation puts the density of states at the Fermi level at 37.5 states/eV/cell. For the total magnetic moment, the calculation gives 0.00 μB per formula unit.

# Pm12Co6Cu

A relaxed structure of Pm12Co6Cu (PBE, Alexandria).

It has space group Im-3 (No. 204), with a = 9.872 Å, b = 9.872 Å, c = 9.872 Å, α = 90.00°, β = 90.00° and γ = 90.00°. The inequivalent atoms are Pm at (0.000, 0.304, 0.193), Co at (0.000, 0.113, 0.500) and Cu at (0.000, 0.000, 0.000).

As for the formation energy from the elements: -0.088 eV per atom. The calculation puts the density of states at the Fermi level at 29.4 states/eV/cell. For the total magnetic moment, the calculation gives 0.00 μB per formula unit.

# Pm3Co2Cu

A relaxed structure of Pm3Co2Cu (PBE, Alexandria).

It has space group P4/mmm (No. 123), with a = 3.452 Å, b = 3.452 Å, c = 10.668 Å, α = 90.00°, β = 90.00° and γ = 90.00°. The inequivalent atoms are Pm at (0.000, 0.000, 0.000), Pm at (0.000, 0.000, 0.322), Co at (0.500, 0.500, 0.165) and Cu at (0.500, 0.500, 0.500).

As for the formation energy from the elements: -0.050 eV per atom. The calculation puts the density of states at the Fermi level at 4.3 states/eV/cell. The distance to the lowest polymorph of the same formula comes out at 0.031 eV/atom. For the total magnetic moment, the calculation gives 1.09 μB per formula unit.

# Pm2Co2Cu

A relaxed structure of Pm2Co2Cu (PBE, Alexandria).

It has space group C2/c (No. 15), with a = 9.314 Å, b = 5.379 Å, c = 7.789 Å, α = 90.00°, β = 105.15° and γ = 90.00°. The inequivalent atoms are Pm at (0.146, 0.152, 0.147), Co at (0.142, 0.354, 0.508) and Cu at (0.000, 0.364, 0.750).

As for the formation energy from the elements: -0.089 eV per atom. The calculation puts the density of states at the Fermi level at 17.8 states/eV/cell. The distance to the lowest polymorph of the same formula comes out at 0.000 eV/atom. For the total magnetic moment, the calculation gives 0.15 μB per formula unit.

# Pm3Co2Cu

A relaxed structure of Pm3Co2Cu (PBE, Alexandria).

It has space group Pnma (No. 62), with a = 11.541 Å, b = 3.983 Å, c = 11.473 Å, α = 90.00°, β = 90.00° and γ = 90.00°. The inequivalent atoms are Pm at (0.062, 0.250, 0.123), Pm at (0.120, 0.750, 0.566), Pm at (0.195, 0.250, 0.817), Co at (0.026, 0.750, 0.315), Co at (0.185, 0.750, 0.989) and Cu at (0.129, 0.250, 0.376).

As for the formation energy from the elements: -0.081 eV per atom. The calculation puts the density of states at the Fermi level at 13.9 states/eV/cell. The distance to the lowest polymorph of the same formula comes out at 0.000 eV/atom. For the total magnetic moment, the calculation gives 0.00 μB per formula unit.

# PmCoCu4

A relaxed structure of PmCoCu4 (PBE, Alexandria).

It has space group F-43m (No. 216), with a = 7.075 Å, b = 7.075 Å, c = 7.075 Å, α = 90.00°, β = 90.00° and γ = 90.00°. The inequivalent atoms are Pm at (0.000, 0.000, 0.000), Co at (0.250, 0.250, 0.750) and Cu at (0.123, 0.123, 0.377).

As for the formation energy from the elements: 0.016 eV per atom. The calculation puts the density of states at the Fermi level at 28.3 states/eV/cell. For the total magnetic moment, the calculation gives 0.78 μB per formula unit.

# Pm3Co3Cu

A relaxed structure of Pm3Co3Cu (PBE, Alexandria).

It has space group Cmcm (No. 63), with a = 4.339 Å, b = 10.080 Å, c = 12.582 Å, α = 90.00°, β = 90.00° and γ = 90.00°. The inequivalent atoms are Pm at (0.000, 0.015, 0.250), Pm at (0.000, 0.277, 0.604), Co at (0.000, 0.323, 0.250), Co at (0.000, 0.433, 0.086) and Cu at (0.000, 0.000, 0.000).

As for the formation energy from the elements: -0.112 eV per atom. The calculation puts the density of states at the Fermi level at 21.0 states/eV/cell. For the total magnetic moment, the calculation gives 2.01 μB per formula unit.

# Pm4CoCu3

A relaxed structure of Pm4CoCu3 (PBE, Alexandria).

It has space group Pmm2 (No. 25), with a = 3.866 Å, b = 4.444 Å, c = 10.562 Å, α = 90.00°, β = 90.00° and γ = 90.00°. The inequivalent atoms are Pm at (0.000, 0.000, 0.000), Pm at (0.000, 0.500, 0.267), Pm at (0.500, 0.000, 0.477), Pm at (0.500, 0.500, 0.772), Co at (0.500, 0.000, 0.202), Cu at (0.000, 0.000, 0.694), Cu at (0.000, 0.500, 0.561) and Cu at (0.500, 0.500, 0.063).

As for the formation energy from the elements: -0.166 eV per atom. The calculation puts the density of states at the Fermi level at 7.8 states/eV/cell. For the total magnetic moment, the calculation gives 0.00 μB per formula unit.

# Pm3Co2Cu4

A relaxed structure of Pm3Co2Cu4 (PBE, Alexandria).

It has space group C2/m (No. 12), with a = 10.530 Å, b = 4.151 Å, c = 8.165 Å, α = 90.00°, β = 106.23° and γ = 90.00°. The inequivalent atoms are Pm at (0.000, 0.000, 0.000), Pm at (0.174, 0.500, 0.657), Co at (0.107, 0.500, 0.275), Cu at (0.049, 0.000, 0.380) and Cu at (0.220, 0.500, 0.059).

As for the formation energy from the elements: -0.115 eV per atom. The calculation puts the density of states at the Fermi level at 13.6 states/eV/cell. For the total magnetic moment, the calculation gives 0.00 μB per formula unit.

- Which value of formation energy from the elements does entry 4 give?
  -0.050 eV per atom

- Which formula does entry 5 have?
  Pm2Co2Cu

- Which of these has the highest total magnetic moment?
  Pm3Co3Cu

- Which of these has the highest total magnetic moment?
  Pm3Co3Cu